(1)
DFT (GGA-PBE) results for a relaxed KCo2Os crystal.

POSCAR file:
```
KCo2Os
1.0
4.456 0.000 0.000
2.228 3.859 0.000
2.228 1.286 3.638
Co K Os
2 1 1
direct
0.000 0.000 0.000
0.250 0.250 0.250
0.500 0.500 0.500
0.750 0.750 0.750
```

DFT formation energy: 1.62 eV/atom
Calculated volume: 15.64 Å³/atom
Energy above the most stable polymorph in this dataset: 0.9329 eV per atom

(2)
DFT (GGA-PBE) results for a relaxed MoWC crystal.

POSCAR file:
```
MoWC
1.0
-0.389 -2.113 -2.202
-0.526 -0.730 2.943
-4.441 1.307 -0.469
Mo W C
1 1 1
direct
0.667 0.333 0.252
0.333 0.667 0.748
0.000 0.000 0.000
```

DFT formation energy: -0.01 eV/atom
Calculated volume: 12.72 Å³/atom
Energy above the most stable polymorph in this dataset: 0.0745 eV per atom

(3)
DFT (GGA-PBE) results for a relaxed Ca8AsP3I4 crystal.

POSCAR file:
```
Ca8AsP3I4
1.0
-8.427 1.875 0.677
-1.674 -4.852 -7.395
4.142 -3.766 6.606
Ca P I As
8 3 4 1
direct
0.726 0.690 0.958
0.274 0.310 0.042
0.232 0.690 0.958
0.768 0.310 0.042
0.270 0.311 0.541
0.232 0.690 0.465
0.730 0.689 0.459
0.768 0.310 0.535
0.500 0.500 0.000
0.500 0.500 0.500
0.000 0.500 0.500
0.000 0.000 0.500
0.500 0.000 0.500
0.000 0.000 0.000
0.500 0.000 0.000
0.000 0.500 0.000
```

Energy relative to the elements, uncorrected: -1.405 eV/atom
Calculated volume: 30.38 Å³/atom

(4)
DFT (GGA-PBE) results for a relaxed PrYBr crystal.

POSCAR file:
```
PrYBr
1.0
-0.115 3.784 -0.004
-2.855 -1.982 -1.501
-3.453 -0.098 6.694
Br Pr Y
1 1 1
direct
0.333 0.667 0.680
0.667 0.333 0.344
0.000 0.000 0.975
```

Energy relative to the elements, uncorrected: -0.760 eV/atom
Calculated volume: 31.16 Å³/atom
Energy above the most stable polymorph in this dataset: 0.0000 eV per atom

(5)
DFT (GGA-PBE) results for a relaxed K2MgSbO4 crystal.

POSCAR file:
```
K2MgSbO4
1.0
5.897 -0.230 -0.352
-2.720 5.237 0.352
-2.720 -1.786 4.935
Sb O K Mg
1 4 2 1
direct
0.000 0.500 0.500
0.103 0.228 0.621
0.607 0.379 0.483
0.897 0.517 0.125
0.393 0.875 0.772
0.500 0.750 0.250
0.000 0.000 0.000
0.500 0.250 0.750
```

Energy relative to the elements, uncorrected: -1.713 eV/atom
Calculated volume: 18.32 Å³/atom

(6)
DFT (GGA-PBE) results for a relaxed PuScInHg crystal.

POSCAR file:
```
PuScInHg
1.0
5.200 0.000 0.000
2.600 4.503 0.000
2.600 1.501 4.245
Pu Hg In Sc
1 1 1 1
direct
0.500 0.500 0.500
0.250 0.250 0.250
0.750 0.750 0.750
0.000 0.000 0.000
```

DFT formation energy: -0.22 eV/atom
Calculated volume: 24.85 Å³/atom
Energy above the most stable polymorph in this dataset: 0.0535 eV per atom

(7)
DFT (GGA-PBE) results for a relaxed PdPtCN2 crystal.

POSCAR file:
```
PdPtCN2
1.0
-3.945 0.670 -0.107
-0.564 -2.897 2.643
0.369 2.647 2.980
N C Pt Pd
2 1 1 1
direct
0.500 0.000 0.000
0.000 0.000 0.500
0.000 0.500 0.000
0.000 0.000 0.000
0.500 0.500 0.500
```

Energy relative to the elements, uncorrected: 2.197 eV/atom
Calculated volume: 12.70 Å³/atom

(8)
DFT (GGA-PBE) results for a relaxed K3RePd3Se8 crystal.

POSCAR file:
```
K3RePd3Se8
1.0
-4.695 -5.011 3.685
6.096 3.109 3.754
-6.752 5.244 -1.471
Se Pd Re K
8 3 1 3
direct
0.779 0.048 0.328
0.277 0.555 0.333
0.268 0.048 0.328
0.220 0.439 0.671
0.221 0.952 0.672
0.723 0.445 0.667
0.780 0.561 0.329
0.732 0.952 0.672
0.500 0.500 0.500
0.000 0.500 0.500
0.500 0.000 0.500
0.000 0.000 0.500
0.000 0.000 0.000
0.000 0.500 0.000
0.500 0.500 0.000
```

Energy relative to the elements, uncorrected: -0.474 eV/atom
Calculated volume: 26.07 Å³/atom